A plane-wave DFT calculation with PBE+U was carried out for an optimized crystal structure of VOF.

abc: 3.3102 5.2543 7.2332
angles: 90.00 90.00 90.00
Each line ends with the local moment (μB).
Fractional coordinates of all 12 atoms:
V 0.7500 0.6361 0.6548  1.96
V 0.2500 0.1361 0.8452  1.96
V 0.7500 0.8639 0.1548  1.96
V 0.2500 0.3639 0.3452  1.96
O 0.2500 0.3992 0.6260  -0.05
O 0.7500 0.8992 0.8740  -0.05
O 0.2500 0.1008 0.1260  -0.05
O 0.7500 0.6008 0.3740  -0.05
F 0.2500 0.8844 0.6154  0.00
F 0.7500 0.3844 0.8846  0.00
F 0.2500 0.6156 0.1154  0.00
F 0.7500 0.1156 0.3846  0.00

Output
- DFT total energy: -86.0 eV for the cell shown
- M_tot: 0.667 μB per atom